# LiGeB

Crystalline LiGeB at its relaxed geometry (PBE-GGA, the Alexandria database).

The structure belongs to space group Aem2 (No. 39); the cell edges are 3.532, 8.537 and 6.132 Å and the angles 90.00°, 90.00° and 90.00°. The inequivalent atoms are Li at (0.000, 0.000, 0.000), Ge at (0.264, 0.250, 0.231) and B at (0.238, 0.250, 0.897).

The density of states at the Fermi level is 0.064 states/eV/f.u. As for the calculated formation energy: 101 meV per atom.

---

# TcNiW3

Crystalline TcNiW3 at its relaxed geometry (PBE-GGA, the Alexandria database).

The structure belongs to space group Pm-3m (No. 221); the cell edges are 4.665, 4.665 and 4.665 Å and the angles 90.00°, 90.00° and 90.00°. The inequivalent atoms are Tc at (0.000, 0.000, 0.000), Ni at (0.500, 0.500, 0.500) and W at (0.000, 0.000, 0.500).

The density of states at the Fermi level is 4.943 states/eV/f.u. As for the calculated formation energy: 2131 meV per atom. The value obtained for the relative energy among the computed polymorphs is 505 meV/atom.

---

# PmHo2Er

Crystalline PmHo2Er at its relaxed geometry (PBE-GGA, the Alexandria database).

The structure belongs to space group R3m (No. 160, hexagonal axes); the cell edges are 3.5719, 3.5719 and 34.4498 Å and the angles 90.00°, 90.00° and 120.00°. The inequivalent atoms are Pm at (0.0000, 0.0000, 0.0000), Ho at (0.0000, 0.0000, 0.5813), Ho at (0.0000, 0.0000, 0.7509) and Er at (0.0000, 0.0000, 0.1660).

The density of states at the Fermi level is 5.635 states/eV/f.u. As for the calculated formation energy: 17 meV per atom. The value obtained for the relative energy among the computed polymorphs is 0 meV/atom.

---

# Ac2CuSi3

Crystalline Ac2CuSi3 at its relaxed geometry (PBE-GGA, the Alexandria database).

The structure belongs to space group Pmm2 (No. 25); the cell edges are 4.208, 4.626 and 7.159 Å and the angles 90.00°, 90.00° and 90.00°. The inequivalent atoms are Ac at (0.000, 0.000, 0.000), Ac at (0.500, 0.000, 0.492), Cu at (0.000, 0.500, 0.668), Si at (0.000, 0.500, 0.335), Si at (0.500, 0.500, 0.159) and Si at (0.500, 0.500, 0.822).

The density of states at the Fermi level is 3.643 states/eV/f.u. The calculation puts the uncorrected formation energy at -0.618 eV/atom. The value obtained for the relative energy among the computed polymorphs is 31 meV/atom.